Record 1
First-principles (PBE) data for crystalline Ca2Ac9Tm at its relaxed geometry, as listed in the Alexandria database.

Results
Total magnetic moment: 0.000 μB per atom

a b c (Å): 5.5508 5.5508 16.6721
angles (deg): 90.00 90.00 90.00
Closest atoms and distances in Å follow each position.
Space group P4/mmm (No. 123)
One atom of each set of equivalent atoms:
Ca (0.0000, 0.0000, 0.1688) [2 per cell]  12 Ac 3.93-3.97
Ac (0.0000, 0.5000, 0.0000) [2 per cell]  8 Ac 3.93-3.95, 4 Ca 3.95
Ac (0.0000, 0.5000, 0.3392) [4 per cell]  8 Ac 3.86-3.97, 2 Tm 3.86, 2 Ca 3.97
Ac (0.5000, 0.5000, 0.1688) [2 per cell]  4 Ca 3.93, 8 Ac 3.95-3.97
Ac (0.5000, 0.5000, 0.5000) [1 per cell]  8 Ac 3.86, 4 Tm 3.93
Tm (0.0000, 0.0000, 0.5000) [1 per cell]  12 Ac 3.86-3.93



Record 2
First-principles (PBE) data for crystalline CaAc2Tm at its relaxed geometry, as listed in the Alexandria database.

Results
Total magnetic moment: 0.000 μB per atom
Excess energy over the best structure of this formula in the dataset: 0.016 eV per atom

a b c (Å): 8.6006 8.6006 8.6006
angles (deg): 90.00 90.00 90.00
Closest atoms and distances in Å follow each position.
Space group Fm-3m (No. 225)
One atom of each set of equivalent atoms:
Ca (0.0000, 0.0000, 0.0000) [4 per cell]  8 Ac 3.72
Ac (0.2500, 0.2500, 0.2500) [8 per cell]  4 Tm 3.72, 4 Ca 3.72
Tm (0.0000, 0.0000, 0.5000) [4 per cell]  8 Ac 3.72



Energy of formation from the pure elements? In order: 33, 28 kJ/mol of formula units.